(1)
Crystalline KRbNaHg2 at its relaxed geometry. Source: the Alexandria database, functional PBE-GGA.

```
5
Lattice="5.9977 0.0000 0.0000 0.0000 5.9977 0.0000 0.0000 0.0000 6.2726" Properties=species:S:1:pos:R:3 pbc="T T T"
Hg 2.9988 0.0000 0.0000
Hg 0.0000 2.9988 0.0000
Rb 2.9988 2.9988 3.1363
Na 0.0000 0.0000 0.0000
K 0.0000 0.0000 3.1363
```

Results
Raw total energy   -0.816 eV/atom
Symmetry   No. 123
Relative energy among the computed polymorphs   66 kJ/mol of formula units
Energy relative to the elements   -0.02 eV/atom


(2)
Crystalline K4RbNaHg2 at its relaxed geometry. Source: the Alexandria database, functional PBE-GGA.

```
8
Lattice="6.9807 0.0000 0.0000 0.0000 6.9807 0.0000 0.0000 0.0000 9.7610" Properties=species:S:1:pos:R:3 pbc="T T T"
Hg 3.4904 3.4904 3.3969
K 0.0000 3.4904 7.0157
Hg 3.4904 3.4904 6.3641
K 3.4904 0.0000 2.7453
Na 0.0000 0.0000 4.8805
K 3.4904 0.0000 7.0157
K 0.0000 3.4904 2.7453
Rb 0.0000 0.0000 0.0000
```

Results
Raw total energy   -0.928 eV/atom
Symmetry   No. 123
Energy relative to the elements   -0.02 eV/atom